CeBi2AuO (PBE-GGA, optimized geometry); crystal system = tetragonal; formation energy (no corrections) = -1.245 eV/atom; raw total energy = -5.631 eV per atom
1.0
4.080 0.000 0.000
0.000 4.080 0.000
0.000 0.000 15.389
O Bi Ce Au
2 4 2 2
Cartesian
2.040 2.040 7.695
0.000 0.000 7.695
0.000 2.040 1.138
2.040 0.000 14.252
0.000 2.040 10.857
2.040 0.000 4.532
0.000 2.040 6.519
2.040 0.000 8.871
0.000 2.040 13.633
2.040 0.000 1.756